A relaxed LiTbMg crystal, computed with PBE.

Output
Crystal system: cubic
Space group: F-43m (216)

Unit cell a=4.8422 b=4.8422 c=4.8422 alpha=60.00 beta=60.00 gamma=60.00
Last column: nearest neighbours and their distance in Å.
Sites, in units of the cell vectors:
Mg 0.2500 0.2500 0.2500  4 Li 2.97
Tb 0.7500 0.7500 0.7500  4 Li 2.97
Li 0.0000 0.0000 0.0000  4 Tb 2.97, 4 Mg 2.97

A relaxed ZnGaNO crystal, computed with PBE.

Output
Crystal system: trigonal
Space group: P3m1 (156)

Unit cell a=6.4758 b=6.4758 c=10.4129 alpha=90.00 beta=90.00 gamma=120.00
Last column: nearest neighbours and their distance in Å.
Sites, in units of the cell vectors:
Zn 0.6760 0.8380 0.4913  2 N 1.96, 2 O 1.97-2.16
Zn 0.8280 0.6560 0.7375  1 N 1.89, 2 O 1.98
Zn 0.3440 0.1720 0.7375  1 N 1.89, 2 O 1.98
Zn 0.1620 0.8380 0.4913  2 N 1.96, 2 O 1.97-2.16
Zn 0.8280 0.1720 0.7375  1 N 1.89, 2 O 1.98
Zn 0.3333 0.6667 0.2572  1 O 2.00, 3 N 2.04
Zn 0.6667 0.3333 0.9940  4 O 2.01-2.03
Zn 0.1620 0.3240 0.4913  2 N 1.96, 2 O 1.97-2.16
O 0.8412 0.6824 0.9431  2 Ga 1.96, 2 Zn 2.03-2.15
O 0.6667 0.3333 0.1871  1 Zn 2.01, 3 Ga 2.06
O 0.6539 0.8270 0.6981  1 Ga 1.87, 2 Zn 1.98
O 0.1730 0.8270 0.6981  1 Ga 1.87, 2 Zn 1.98
O 0.8412 0.1588 0.9431  2 Ga 1.96, 2 Zn 2.03-2.15
O 0.3333 0.6667 0.4493  4 Zn 1.97-2.00
O 0.1730 0.3461 0.6981  1 Ga 1.87, 2 Zn 1.98
O 0.3176 0.1588 0.9431  2 Ga 1.96, 2 Zn 2.03-2.15
Ga 0.6611 0.8305 0.0065  2 N 1.88-1.98, 2 O 1.96
Ga 0.8390 0.1610 0.2559  3 N 1.88-1.96, 1 O 2.06
Ga 0.1695 0.3389 0.0065  2 N 1.88-1.98, 2 O 1.96
Ga 0.8390 0.6780 0.2559  3 N 1.88-1.96, 1 O 2.06
Ga 0.3333 0.6667 0.7478  3 O 1.87, 1 N 1.96
Ga 0.1695 0.8305 0.0065  2 N 1.88-1.98, 2 O 1.96
Ga 0.6667 0.3333 0.4964  4 N 1.91-1.95
Ga 0.3220 0.1610 0.2559  3 N 1.88-1.96, 1 O 2.06
N 0.3333 0.6667 0.9364  4 Ga 1.96-1.98
N 0.8279 0.6558 0.4360  2 Ga 1.88-1.91, 2 Zn 1.96
N 0.3442 0.1721 0.4360  2 Ga 1.88-1.91, 2 Zn 1.96
N 0.8279 0.1721 0.4360  2 Ga 1.88-1.91, 2 Zn 1.96
N 0.6667 0.3333 0.6834  3 Zn 1.89, 1 Ga 1.95
N 0.1634 0.8366 0.1865  3 Ga 1.88-1.96, 1 Zn 2.04
N 0.1634 0.3268 0.1865  3 Ga 1.88-1.96, 1 Zn 2.04
N 0.6732 0.8366 0.1865  3 Ga 1.88-1.96, 1 Zn 2.04

| no. | uncorrected energy (eV per atom) |
| --- | --- |
| 1 | -2.35 |
| 2 | -5.27 |